LiPPd PBE relaxed; crystal system = tetragonal; DFT formation energy = -0.4846 eV/atom; volume = 44.52 Å³/cell; E = -4.657 eV/atom
1.0
-0.077 1.812 2.689
-3.216 0.298 -0.293
1.110 -4.544 1.138
P Pd Li
1 1 1
direct
0.254 0.254 0.509
0.648 0.648 0.295
0.948 0.948 0.896

---

LiP3Pd10 PBE relaxed; crystal system = cubic; DFT formation energy = -0.4801 eV/atom; volume = 438.36 Å³/cell; E = -5.485 eV/atom
1.0
7.384 0.000 4.263
2.461 6.962 4.263
0.000 0.000 8.527
Li P Pd
2 6 20
direct
0.250 0.250 0.250
0.750 0.750 0.750
0.735 0.735 0.265
0.735 0.265 0.735
0.265 0.735 0.735
0.265 0.265 0.735
0.735 0.265 0.265
0.265 0.735 0.265
0.000 0.000 0.342
0.000 0.342 0.000
0.342 0.000 0.000
0.658 0.342 0.000
0.382 0.382 0.382
0.147 0.618 0.618
0.382 0.853 0.382
0.658 0.000 0.342
0.382 0.382 0.853
0.853 0.382 0.382
0.618 0.618 0.147
0.000 0.000 0.658
0.342 0.658 0.000
0.000 0.658 0.342
0.000 0.342 0.658
0.658 0.000 0.000
0.618 0.618 0.618
0.000 0.658 0.000
0.618 0.147 0.618
0.342 0.000 0.658

---

LiPPd PBE relaxed; crystal system = cubic; DFT formation energy = -0.4996 eV/atom; volume = 45.25 Å³/cell; E = -4.672 eV/atom
1.0
-1.992 -0.696 -3.398
-1.084 -3.730 -0.955
-3.856 -1.056 0.123
P Pd Li
1 1 1
direct
0.250 0.250 0.250
0.000 0.000 0.000
0.500 0.500 0.500

---

Li5PPd6 PBE relaxed; crystal system = monoclinic; DFT formation energy = -0.5155 eV/atom; volume = 157.82 Å³/cell; E = -4.360 eV/atom
1.0
4.151 -0.269 0.686
-0.016 5.520 2.264
0.976 0.278 7.191
P Pd Li
1 6 5
direct
0.000 0.000 0.000
0.840 0.595 0.322
0.840 0.083 0.322
0.500 0.762 0.000
0.500 0.238 0.000
0.160 0.917 0.678
0.160 0.405 0.678
0.671 0.173 0.656
0.334 0.333 0.334
0.000 0.500 0.000
0.666 0.667 0.666
0.329 0.827 0.344

---

LiPPd3 PBE relaxed; crystal system = cubic; DFT formation energy = 0.4417 eV/atom; volume = 76.26 Å³/cell; E = -4.139 eV/atom; energy above the lowest structure with this stoichiometry = 932 meV per atom
1.0
-0.538 4.206 0.056
-2.174 -0.230 -3.634
-3.601 -0.490 2.185
P Pd Li
1 3 1
direct
0.500 0.500 0.500
0.000 0.500 0.000
0.000 0.000 0.500
0.500 0.000 0.000
0.000 0.000 0.000

---

Li3P2Pd7 PBE relaxed; crystal system = triclinic; DFT formation energy = -0.4846 eV/atom; volume = 193.57 Å³/cell; E = -4.894 eV/atom
1.0
4.378 0.512 -0.904
0.410 4.425 -0.266
-1.623 -1.079 10.474
Li P Pd
3 2 7
direct
0.500 0.500 0.000
0.311 0.496 0.605
0.689 0.504 0.395
0.971 0.109 0.217
0.029 0.891 0.783
0.542 0.979 0.252
0.195 0.983 0.431
0.000 0.000 0.000
0.458 0.021 0.748
0.918 0.443 0.821
0.082 0.557 0.179
0.805 0.017 0.569